A geometry-optimized V2SnClF structure, computed with PBE with a Hubbard U.

Structure (CIF):
```
data_V2SnClF
_chemical_formula_sum 'V2 Sn1 Cl1 F1'
_cell_length_a 5.5194
_cell_length_b 4.4604
_cell_length_c 5.5194
_cell_angle_alpha 90.00
_cell_angle_beta 90.00
_cell_angle_gamma 90.00
_space_group_name_H-M_alt 'P 1'
_space_group_IT_number 1
loop_
_space_group_symop_operation_xyz
'x,y,z'
loop_
_atom_site_label
_atom_site_type_symbol
_atom_site_fract_x
_atom_site_fract_y
_atom_site_fract_z
_atom_site_occupancy
F1 F 0.0000 0.5000 0.0000 1
Cl1 Cl 0.5000 0.5000 0.5000 1
Sn1 Sn 0.0000 0.0000 0.0000 1
V1 V 0.0000 0.0000 0.5000 1
V2 V 0.5000 0.0000 0.0000 1
```

Values from the calculation:
E_tot = -21.9 eV/cell
Density of states at the Fermi level = 0.40 states/eV/atom
Space group = P4/mmm
Total moment = 6.1 μB per formula unit